A relaxed structure of TiPtRh. Source: Alexandria, functional GGA-PBE.

Structure (POSCAR):
```
TiPtRh
1.0
4.369 0.000 0.000
-2.185 3.784 0.000
0.000 0.000 5.464
Ti Pt Rh
2 2 2
direct
0.333 0.667 0.250 Ti
0.667 0.333 0.750 Ti
0.000 0.000 0.000 Pt
0.000 0.000 0.500 Pt
0.333 0.667 0.750 Rh
0.667 0.333 0.250 Rh
```

energy relative to the lowest polymorph listed for this composition = 0.00 eV per formula unit
crystal system = hexagonal
E_form = -0.81 eV per atom
SG = No. 194
volume = 15.1 A^3/atom